[1]
First-principles (PBE-GGA) data for an optimized crystal structure of CePuPa4, as listed in Alexandria.

Cell lengths 8.5709, 8.5709, 8.5709 Å; angles 90.00, 90.00, 90.00 degrees
Space group F-43m (No. 216)
Unique sites:
Ce 0.0000 0.0000 0.0000 (multiplicity 4)
Pu 0.2500 0.2500 0.2500 (multiplicity 4)
Pa 0.1250 0.1250 0.6250 (multiplicity 16)

energy above the lowest structure with this stoichiometry	186	meV per atom
crystal system	cubic
DFT formation energy	0.23	eV per atom
total DFT energy (no corrections)	-9.473	eV per atom

---

[2]
First-principles (PBE-GGA) data for an optimized crystal structure of AlCuAg6, as listed in Alexandria.

Cell lengths 4.9739, 5.3524, 5.3585 Å; angles 85.04, 89.34, 89.44 degrees
Space group P-1 (No. 2)
Unique sites:
Al 0.0000 0.0000 0.0000 (multiplicity 1)
Cu 0.5000 0.5000 0.5000 (multiplicity 1)
Ag 0.0158 0.2524 0.4618 (multiplicity 2)
Ag 0.2508 0.4326 0.9347 (multiplicity 2)
Ag 0.4789 0.9582 0.7516 (multiplicity 2)

energy above the lowest structure with this stoichiometry	0	meV per atom
crystal system	triclinic
DFT formation energy	0.11	eV per atom
total DFT energy (no corrections)	-3.005	eV per atom

---

[3]
First-principles (PBE-GGA) data for an optimized crystal structure of KNdCN2, as listed in Alexandria.

Cell lengths 3.9042, 5.6047, 5.6899 Å; angles 90.00, 90.13, 90.00 degrees
Space group P2/m (No. 10)
Unique sites:
K 0.0000 0.0000 0.0000 (multiplicity 1)
Nd 0.5000 0.5000 0.5000 (multiplicity 1)
C 0.0000 0.0000 0.5000 (multiplicity 1)
N 0.0000 0.2207 0.5000 (multiplicity 2)

crystal system	monoclinic
total DFT energy (no corrections)	-6.737	eV per atom
formation energy from raw total energies	-389	meV per atom

---

[4]
First-principles (PBE-GGA) data for an optimized crystal structure of AcV2Re, as listed in Alexandria.

Cell lengths 4.6711, 4.6711, 11.3968 Å; angles 90.00, 90.00, 120.00 degrees
Space group R-3m (No. 166, hexagonal axes)
Unique sites:
Ac 0.0000 0.0000 0.0000 (multiplicity 3)
V 0.0000 0.0000 0.2505 (multiplicity 6)
Re 0.0000 0.0000 0.5000 (multiplicity 3)

crystal system	trigonal
DFT formation energy	0.67	eV per atom
total DFT energy (no corrections)	-8.026	eV per atom

---

[5]
First-principles (PBE-GGA) data for an optimized crystal structure of YCdReB2, as listed in Alexandria.

Cell lengths 4.5684, 4.5684, 5.2093 Å; angles 90.00, 90.00, 90.00 degrees
Space group P4/mmm (No. 123)
Unique sites:
Y 0.0000 0.0000 0.0000 (multiplicity 1)
Cd 0.5000 0.5000 0.5000 (multiplicity 1)
Re 0.0000 0.0000 0.5000 (multiplicity 1)
B 0.0000 0.5000 0.0000 (multiplicity 2)

crystal system	tetragonal
DFT formation energy	2.45	eV per atom
total DFT energy (no corrections)	-4.183	eV per atom

---

[6]
First-principles (PBE-GGA) data for an optimized crystal structure of BaMg2As, as listed in Alexandria.

Cell lengths 4.6587, 4.6587, 5.3489 Å; angles 90.00, 90.00, 90.00 degrees
Space group P4/mmm (No. 123)
Unique sites:
Ba 0.0000 0.0000 0.0000 (multiplicity 1)
Mg 0.0000 0.5000 0.5000 (multiplicity 2)
As 0.5000 0.5000 0.0000 (multiplicity 1)

crystal system	tetragonal
DFT formation energy	-0.28	eV per atom
total DFT energy (no corrections)	-2.721	eV per atom

---

Number 6 is which compound? BaMg2As